YMg2Cu | SCAN | single point on PBEsol structure

Cell: 4.8826 4.8826 8.1257 Å, 90.00 90.00 120.00°
Space group P6_3/mmc (No. 194)
Unique sites:
Y 0.0000 0.0000 0.2500
Mg 0.3333 0.6667 0.0648
Cu 0.3333 0.6667 0.7500

Properties
* formation energy from the elements: -154 meV per atom
* total energy: -53.6 eV/f.u.
* spin magnetization: 0.00 μB per cell
* crystal system: hexagonal
* DOS(E_F): 4.18 states/eV/cell